# SCAN ZnAg4Rh, PBEsol geometry
data_ZnAg4Rh
_chemical_formula_sum 'Zn1 Ag4 Rh1'
_cell_length_a 5.216
_cell_length_b 5.216
_cell_length_c 5.216
_cell_angle_alpha 60.00
_cell_angle_beta 60.00
_cell_angle_gamma 60.00
_symmetry_space_group_name_H-M 'P 1'
_symmetry_Int_Tables_number 1
loop_
_symmetry_equiv_pos_as_xyz
'x,y,z'
loop_
_atom_site_label
_atom_site_fract_x
_atom_site_fract_y
_atom_site_fract_z
Zn1 0.000 0.000 0.000
Ag1 0.125 0.625 0.625
Ag2 0.625 0.125 0.625
Ag3 0.625 0.625 0.125
Ag4 0.625 0.625 0.625
Rh1 0.250 0.250 0.250
# Calculated total energy, eV per atom: -28.38
# Space group: F-43m
# Energy of formation, meV/atom: 408